SrSbMo2 | PBE | optimized geometry

Cell: 6.163 10.273 2.930 Å, 90.00 115.44 90.00°
Space group C2/m (No. 12)
Symmetry-distinct sites (fractional):
Sr: 0.000 0.000 0.000 x2
Sb: 0.000 0.500 0.000 x2
Mo: 0.250 0.250 0.500 x4

mass density: 8.0 g cm⁻³
E_form (uncorrected): 0.855 eV per atom
magnetic moment: 0.0 μB per formula unit
total DFT energy (no corrections): -6.012 eV/atom